No. 1
First-principles (SCAN) data for a crystal of Mg30CrCoO32 relaxed with PBEsol, as listed in the Alexandria database.

Lattice parameters (Å, degrees): 8.431 8.431 8.446 90.00 90.00 90.00
Fractional coordinates of all 64 atoms:
Mg  0.000  0.000  0.000
Mg  0.000  0.247  0.252
Mg  0.000  0.247  0.748
Mg  0.000  0.500  0.000
Mg  0.000  0.500  0.500
Mg  0.000  0.753  0.252
Mg  0.000  0.753  0.748
Mg  0.246  0.246  0.500
Mg  0.246  0.754  0.500
Mg  0.247  0.000  0.252
Mg  0.247  0.000  0.748
Mg  0.249  0.249  0.000
Mg  0.249  0.500  0.249
Mg  0.249  0.500  0.751
Mg  0.249  0.751  0.000
Mg  0.500  0.000  0.000
Mg  0.500  0.000  0.500
Mg  0.500  0.249  0.249
Mg  0.500  0.249  0.751
Mg  0.500  0.500  0.000
Mg  0.500  0.751  0.249
Mg  0.500  0.751  0.751
Mg  0.751  0.249  0.000
Mg  0.751  0.500  0.249
Mg  0.751  0.500  0.751
Mg  0.751  0.751  0.000
Mg  0.753  0.000  0.252
Mg  0.753  0.000  0.748
Mg  0.754  0.246  0.500
Mg  0.754  0.754  0.500
Cr  0.500  0.500  0.500
Co  0.000  0.000  0.500
O  0.000  0.000  0.242
O  0.000  0.000  0.758
O  0.000  0.251  0.000
O  0.000  0.260  0.500
O  0.000  0.500  0.251
O  0.000  0.500  0.749
O  0.000  0.740  0.500
O  0.000  0.749  0.000
O  0.250  0.250  0.251
O  0.250  0.250  0.749
O  0.250  0.750  0.251
O  0.250  0.750  0.749
O  0.251  0.000  0.000
O  0.251  0.500  0.000
O  0.259  0.500  0.500
O  0.260  0.000  0.500
O  0.500  0.000  0.251
O  0.500  0.000  0.749
O  0.500  0.251  0.000
O  0.500  0.259  0.500
O  0.500  0.500  0.251
O  0.500  0.500  0.749
O  0.500  0.741  0.500
O  0.500  0.749  0.000
O  0.740  0.000  0.500
O  0.741  0.500  0.500
O  0.749  0.000  0.000
O  0.749  0.500  0.000
O  0.750  0.250  0.251
O  0.750  0.250  0.749
O  0.750  0.750  0.251
O  0.750  0.750  0.749

Output
Crystal system: tetragonal
Raw total energy, eV/cell: -571.057
Energy relative to the elements, uncorrected, eV/atom: -2.9181
Total magnetic moment, Bohr magnetons per cell: 5.35


No. 2
First-principles (SCAN) data for a crystal of Zn2InMo relaxed with PBEsol, as listed in the Alexandria database.

Lattice parameters (Å, degrees): 2.905 3.885 5.709 90.00 90.00 90.00
Fractional coordinates of all 4 atoms:
Zn  0.000  0.000  0.000
Zn  0.500  0.500  0.231
In  0.000  0.000  0.502
Mo  0.500  0.500  0.766

Output
Crystal system: orthorhombic
Raw total energy, eV/cell: -94.172
Total magnetic moment, Bohr magnetons per cell: 0.00


No. 3
First-principles (SCAN) data for a crystal of MgSb2Cl relaxed with PBEsol, as listed in the Alexandria database.

Lattice parameters (Å, degrees): 6.168 6.168 3.154 90.00 90.00 124.85
Fractional coordinates of all 4 atoms:
Mg  0.000  0.000  0.000
Sb  0.000  0.500  0.500
Sb  0.500  0.000  0.500
Cl  0.500  0.500  0.000

Output
Crystal system: orthorhombic
Distance to the lowest polymorph of the same formula, meV per atom: 419.5
Raw total energy, eV/cell: -88.008
Energy relative to the elements, uncorrected, eV/atom: -0.1338
Total magnetic moment, Bohr magnetons per cell: 0.00